DFT (GGA-PBE) results for a relaxed Sc2ZnCo2 crystal.

The calculated total energy is -5.68 eV per atom. The total moment is 0.00 μB/atom. Its density of states at the Fermi level is 4.47 states/eV per cell. The symmetry is I4/mmm. Its formation enthalpy at 0 K is -49 meV per atom.

```
data_Sc2ZnCo2
_chemical_formula_sum 'Sc2 Zn1 Co2'
_cell_length_a 4.841
_cell_length_b 4.841
_cell_length_c 4.973
_cell_angle_alpha 60.87
_cell_angle_beta 60.87
_cell_angle_gamma 90.00
_symmetry_space_group_name_H-M 'P 1'
_symmetry_Int_Tables_number 1
loop_
_symmetry_equiv_pos_as_xyz
'x,y,z'
loop_
_atom_site_label
_atom_site_type_symbol
_atom_site_fract_x
_atom_site_fract_y
_atom_site_fract_z
_atom_site_occupancy
Zn1 Zn 0.000 0.000 0.000 1
Co1 Co 0.342 0.342 0.317 1
Co2 Co 0.658 0.658 0.683 1
Sc1 Sc 0.750 0.250 0.500 1
Sc2 Sc 0.250 0.750 0.500 1
```

---

DFT (GGA-PBE) results for a relaxed Sc5ZnCo4 crystal.

The calculated total energy is -6.50 eV per atom. The total moment is 0.09 μB/atom. Its density of states at the Fermi level is 4.83 states/eV per cell. The symmetry is P4/mmm. Its formation enthalpy at 0 K is -369 meV per atom.

```
data_Sc5ZnCo4
_chemical_formula_sum 'Sc5 Zn1 Co4'
_cell_length_a 3.144
_cell_length_b 3.144
_cell_length_c 16.130
_cell_angle_alpha 90.00
_cell_angle_beta 90.00
_cell_angle_gamma 90.00
_symmetry_space_group_name_H-M 'P 1'
_symmetry_Int_Tables_number 1
loop_
_symmetry_equiv_pos_as_xyz
'x,y,z'
loop_
_atom_site_label
_atom_site_type_symbol
_atom_site_fract_x
_atom_site_fract_y
_atom_site_fract_z
_atom_site_occupancy
Co1 Co 0.000 0.000 0.404 1
Co2 Co 0.000 0.000 0.209 1
Co3 Co 0.000 0.000 0.596 1
Co4 Co 0.000 0.000 0.791 1
Sc1 Sc 0.500 0.500 0.692 1
Sc2 Sc 0.500 0.500 0.308 1
Sc3 Sc 0.500 0.500 0.500 1
Sc4 Sc 0.500 0.500 0.117 1
Sc5 Sc 0.500 0.500 0.883 1
Zn1 Zn 0.000 0.000 0.000 1
```

---

DFT (GGA-PBE) results for a relaxed Sc3ZnCo8 crystal.

The calculated total energy is -6.71 eV per atom. The total moment is 0.69 μB/atom. Its density of states at the Fermi level is 16.04 states/eV per cell. The symmetry is R3m. Its formation enthalpy at 0 K is -279 meV per atom.

```
data_Sc3ZnCo8
_chemical_formula_sum 'Sc3 Zn1 Co8'
_cell_length_a 4.834
_cell_length_b 4.834
_cell_length_c 8.383
_cell_angle_alpha 73.24
_cell_angle_beta 73.24
_cell_angle_gamma 60.00
_symmetry_space_group_name_H-M 'P 1'
_symmetry_Int_Tables_number 1
loop_
_symmetry_equiv_pos_as_xyz
'x,y,z'
loop_
_atom_site_label
_atom_site_type_symbol
_atom_site_fract_x
_atom_site_fract_y
_atom_site_fract_z
_atom_site_occupancy
Zn1 Zn 0.874 0.874 0.379 1
Sc1 Sc 0.376 0.376 0.873 1
Sc2 Sc 0.995 0.995 0.015 1
Sc3 Sc 0.504 0.504 0.489 1
Co1 Co 0.688 0.688 0.937 1
Co2 Co 0.937 0.437 0.189 1
Co3 Co 0.437 0.437 0.189 1
Co4 Co 0.440 0.938 0.685 1
Co5 Co 0.938 0.938 0.685 1
Co6 Co 0.188 0.188 0.436 1
Co7 Co 0.437 0.937 0.189 1
Co8 Co 0.938 0.440 0.685 1
```

---

DFT (GGA-PBE) results for a relaxed Sc6ZnCo crystal.

The calculated total energy is -5.79 eV per atom. The total moment is 0.00 μB/atom. Its density of states at the Fermi level is 10.62 states/eV per cell. The symmetry is C2/m. Its formation enthalpy at 0 K is 1 meV per atom.

```
data_Sc6ZnCo
_chemical_formula_sum 'Sc6 Zn1 Co1'
_cell_length_a 6.054
_cell_length_b 6.240
_cell_length_c 6.044
_cell_angle_alpha 58.92
_cell_angle_beta 78.37
_cell_angle_gamma 67.01
_symmetry_space_group_name_H-M 'P 1'
_symmetry_Int_Tables_number 1
loop_
_symmetry_equiv_pos_as_xyz
'x,y,z'
loop_
_atom_site_label
_atom_site_type_symbol
_atom_site_fract_x
_atom_site_fract_y
_atom_site_fract_z
_atom_site_occupancy
Sc1 Sc 0.745 0.084 0.386 1
Sc2 Sc 0.255 0.916 0.614 1
Sc3 Sc 0.745 0.470 0.614 1
Sc4 Sc 0.255 0.530 0.386 1
Sc5 Sc 0.267 0.269 0.000 1
Sc6 Sc 0.733 0.731 0.000 1
Zn1 Zn 0.000 0.000 0.000 1
Co1 Co 0.500 0.500 0.000 1
```

---

Record order is preserved below.
Volume: 84.5, 159.5, 160.0, 180.0 Å³/f.u.